(1)
Material: Rb2GaCuBr6
Method: DFT, PBE
State: optimized geometry

```
data_Rb2GaCuBr6
_chemical_formula_sum 'Rb8 Ga4 Cu4 Br24'
_cell_length_a 10.574
_cell_length_b 10.574
_cell_length_c 10.574
_cell_angle_alpha 90.00
_cell_angle_beta 90.00
_cell_angle_gamma 90.00
_symmetry_space_group_name_H-M 'F m -3 m'
_symmetry_Int_Tables_number 225
_symmetry_space_group_name_Hall '-F 4 2 3'
loop_
_atom_site_label
_atom_site_type_symbol
_atom_site_fract_x
_atom_site_fract_y
_atom_site_fract_z
Rb1 Rb 0.250 0.250 0.250
Ga1 Ga 0.000 0.000 0.000
Cu1 Cu 0.000 0.000 0.500
Br1 Br 0.000 0.000 0.249
```

Results
Electronic total energy = -2.892 eV per atom
V = 1182 Å³ per cell


(2)
Material: SrErPt
Method: DFT, PBE
State: optimized geometry

```
data_SrErPt
_chemical_formula_sum 'Sr4 Er4 Pt4'
_cell_length_a 7.054
_cell_length_b 7.054
_cell_length_c 7.054
_cell_angle_alpha 90.00
_cell_angle_beta 90.00
_cell_angle_gamma 90.00
_symmetry_space_group_name_H-M 'F -4 3 m'
_symmetry_Int_Tables_number 216
_symmetry_space_group_name_Hall 'F -4 2 3'
loop_
_atom_site_label
_atom_site_type_symbol
_atom_site_fract_x
_atom_site_fract_y
_atom_site_fract_z
Sr1 Sr 0.000 0.000 0.000
Er1 Er 0.000 0.000 0.500
Pt1 Pt 0.250 0.250 0.750
```

Results
Offset from the most stable computed form = 0 meV/atom
Magnetization = 0.00 μB per formula unit
V = 351 Å³ per cell


(3)
Material: BiTePt
Method: DFT, PBE
State: optimized geometry

```
data_BiTePt
_chemical_formula_sum 'Bi4 Te4 Pt4'
_cell_length_a 6.825
_cell_length_b 6.825
_cell_length_c 6.825
_cell_angle_alpha 90.00
_cell_angle_beta 90.00
_cell_angle_gamma 90.00
_symmetry_space_group_name_H-M 'F -4 3 m'
_symmetry_Int_Tables_number 216
_symmetry_space_group_name_Hall 'F -4 2 3'
loop_
_atom_site_label
_atom_site_type_symbol
_atom_site_fract_x
_atom_site_fract_y
_atom_site_fract_z
Bi1 Bi 0.000 0.000 0.000
Te1 Te 0.000 0.000 0.500
Pt1 Pt 0.250 0.250 0.250
```

Results
Offset from the most stable computed form = 0 meV/atom
Magnetization = 0.00 μB per formula unit
V = 318 Å³ per cell


(4)
Material: AlHgB4
Method: DFT, PBE
State: optimized geometry

```
data_AlHgB4
_chemical_formula_sum 'Al2 Hg2 B8'
_cell_length_a 3.102
_cell_length_b 5.272
_cell_length_c 7.659
_cell_angle_alpha 90.00
_cell_angle_beta 90.00
_cell_angle_gamma 90.00
_symmetry_space_group_name_H-M 'I m m m'
_symmetry_Int_Tables_number 71
_symmetry_space_group_name_Hall '-I 2 2'
loop_
_atom_site_label
_atom_site_type_symbol
_atom_site_fract_x
_atom_site_fract_y
_atom_site_fract_z
Al1 Al 0.000 0.000 0.000
Hg1 Hg 0.000 0.000 0.500
B1 B 0.000 0.327 0.268
```

Results
Offset from the most stable computed form = 269 meV/atom
V = 125 Å³ per cell


(5)
Material: SrSbAu
Method: DFT, PBE
State: optimized geometry

```
data_SrSbAu
_chemical_formula_sum 'Sr3 Sb3 Au3'
_cell_length_a 7.8859
_cell_length_b 7.8859
_cell_length_c 4.5284
_cell_angle_alpha 90.00
_cell_angle_beta 90.00
_cell_angle_gamma 120.00
_symmetry_space_group_name_H-M 'P -6 2 m'
_symmetry_Int_Tables_number 189
_symmetry_space_group_name_Hall 'P -6 -2'
loop_
_atom_site_label
_atom_site_type_symbol
_atom_site_fract_x
_atom_site_fract_y
_atom_site_fract_z
Sr1 Sr 0.0000 0.6107 0.0000
Sb1 Sb 0.0000 0.2778 0.5000
Au1 Au 0.0000 0.0000 0.0000
Au2 Au 0.3333 0.6667 0.5000
```

Results
Electronic total energy = -3.749 eV per atom
V = 244 Å³ per cell


(6)
Material: SrFeC
Method: DFT, PBE
State: optimized geometry

```
data_SrFeC
_chemical_formula_sum 'Sr2 Fe2 C2'
_cell_length_a 3.528
_cell_length_b 3.528
_cell_length_c 8.739
_cell_angle_alpha 90.00
_cell_angle_beta 90.00
_cell_angle_gamma 90.00
_symmetry_space_group_name_H-M 'P 4/n m m'
_symmetry_Int_Tables_number 129
loop_
_symmetry_equiv_pos_as_xyz
'x,y,z'
'-x,-y,-z'
'-y+1/2,x,z'
'y+1/2,-x,-z'
'-x+1/2,-y+1/2,z'
'x+1/2,y+1/2,-z'
'y,-x+1/2,z'
'-y,x+1/2,-z'
'x+1/2,-y,-z'
'-x+1/2,y,z'
'-y,-x,-z'
'y,x,z'
'-x,y+1/2,-z'
'x,-y+1/2,z'
'y+1/2,x+1/2,-z'
'-y+1/2,-x+1/2,z'
loop_
_atom_site_label
_atom_site_type_symbol
_atom_site_fract_x
_atom_site_fract_y
_atom_site_fract_z
Sr1 Sr 0.250 0.250 0.211
Fe1 Fe 0.250 0.750 0.500
C1 C 0.250 0.250 0.592
```

Results
Electronic total energy = -6.427 eV per atom
Magnetization = 0.00 μB per formula unit
V = 109 Å³ per cell